DFT (PBE) results for an optimized crystal structure of BaEu2Pb.

a b c (Å): 4.0484 4.0484 10.3926
angles (deg): 90.00 90.00 90.00
With the nearest neighbours (Å) after each atom.
Sites, in units of the cell vectors:
Ba  0.5000  0.5000  0.5000  4 Ba 4.05, 8 Eu 4.34
Pb  0.5000  0.5000  0.0000  8 Eu 3.46
Eu  0.0000  0.0000  0.1866  4 Pb 3.46
Eu  0.0000  0.0000  0.8134  4 Pb 3.46

Results
total moment = 3.7792 μB per atom
offset from the most stable computed form = 0.15 eV per formula unit
energy of formation = -1.044 eV/f.u.
symmetry = No. 123
N(E_F) = 14.49 states/eV/f.u.